Below is a relaxed structure of Li12Sn2Bi7, with properties calculated at the PBE level.

Properties
Formation energy = -0.37 eV per atom
DFT total energy = -3.14 eV per atom

a b c (Å): 12.6879 12.6879 3.4982
angles (deg): 90.00 90.00 120.00
Last column: nearest neighbours and their distance in Å.
Space group P-6 (No. 174)
Symmetry-distinct sites (fractional):
Li  0.0476  0.2569  0.0000 [3 per cell]  4 Bi 2.94-2.99, 4 Li 3.16-3.21
Li  0.1245  0.7109  0.5000 [3 per cell]  4 Bi 2.92-2.99, 2 Li 3.21
Li  0.4117  0.1649  0.5000 [3 per cell]  4 Bi 2.85-2.96, 2 Li 3.16
Li  0.5193  0.4093  0.0000 [3 per cell]  5 Bi 3.05-3.11, 4 Li 3.21
Sn  0.0000  0.0000  0.5000 [1 per cell]  6 Bi 3.40, 6 Li 3.48, 2 Sn 3.50
Sn  0.3333  0.6667  0.0000 [1 per cell]  6 Bi 3.41, 6 Li 3.45, 2 Sn 3.50
Bi  0.0829  0.4629  0.5000 [3 per cell]  7 Li 2.92-3.11
Bi  0.2489  0.2052  0.0000 [3 per cell]  7 Li 2.94-3.10
Bi  0.6667  0.3333  0.5000 [1 per cell]  9 Li 2.85-3.05

Below is a relaxed structure of Li2SnBi2, with properties calculated at the PBE level.

Properties
Formation energy = -0.22 eV per atom
DFT total energy = -3.34 eV per atom
E above lowest polymorph = 0.037 eV/atom

a b c (Å): 8.5463 8.5463 3.3822
angles (deg): 90.00 90.00 90.00
Last column: nearest neighbours and their distance in Å.
Space group P4/mbm (No. 127)
Symmetry-distinct sites (fractional):
Li  0.1186  0.3814  0.0000 [4 per cell]  1 Li 2.87, 6 Bi 2.97-3.10
Sn  0.0000  0.0000  0.0000 [2 per cell]  2 Sn 3.38, 4 Li 3.41, 8 Bi 3.57
Bi  0.1791  0.6791  0.5000 [4 per cell]  6 Li 2.97-3.10

Below is a relaxed structure of Li6SnBi2, with properties calculated at the PBE level.

Properties
Formation energy = -0.39 eV per atom
DFT total energy = -2.97 eV per atom

a b c (Å): 14.6788 7.9302 3.3012
angles (deg): 90.00 94.46 90.00
Last column: nearest neighbours and their distance in Å.
Space group Cm (No. 8)
Symmetry-distinct sites (fractional):
Li  0.0000  0.1761  0.0000 [4 per cell]  2 Li 2.68-2.79, 1 Bi 2.85
Li  0.1668  0.3108  0.5007 [4 per cell]  3 Bi 2.94-3.04, 4 Li 2.98-3.24, 1 Sn 2.99
Li  0.3346  0.1777  0.9550 [4 per cell]  3 Li 2.68-2.98, 1 Bi 2.83
Sn  0.4906  0.0000  0.5093 [2 per cell]  10 Li 2.99-3.15, 2 Sn 3.30
Bi  0.1692  0.0000  0.0176 [2 per cell]  8 Li 2.83-3.00
Bi  0.3459  0.5000  0.4523 [2 per cell]  10 Li 3.04-3.13, 2 Bi 3.30

Below is a relaxed structure of LiSnBi3, with properties calculated at the PBE level.

Properties
Formation energy = 0.24 eV per atom
DFT total energy = -3.27 eV per atom
E above lowest polymorph = 0.000 eV/atom

a b c (Å): 5.2489 5.2489 5.2489
angles (deg): 90.00 90.00 90.00
Last column: nearest neighbours and their distance in Å.
Space group Pm-3m (No. 221)
Symmetry-distinct sites (fractional):
Li  0.0000  0.0000  0.0000 [1 per cell]  6 Bi 2.62
Sn  0.5000  0.5000  0.5000 [1 per cell]  12 Bi 3.71
Bi  0.0000  0.0000  0.5000 [3 per cell]  2 Li 2.62

Below is a relaxed structure of Li2Sn2Bi, with properties calculated at the PBE level.

Properties
Formation energy = -0.16 eV per atom
DFT total energy = -3.31 eV per atom
E above lowest polymorph = 0.092 eV/atom

a b c (Å): 8.3717 8.3717 3.3496
angles (deg): 90.00 90.00 90.00
Last column: nearest neighbours and their distance in Å.
Space group P4/mbm (No. 127)
Symmetry-distinct sites (fractional):
Li  0.1179  0.3821  0.0000 [4 per cell]  1 Li 2.79, 6 Sn 2.93-3.04
Sn  0.1787  0.6787  0.5000 [4 per cell]  6 Li 2.93-3.04
Bi  0.0000  0.0000  0.0000 [2 per cell]  4 Li 3.35, 2 Bi 3.35, 8 Sn 3.50

Below is a relaxed structure of LiSn2Bi, with properties calculated at the PBE level.

Properties
Formation energy = -0.14 eV per atom
DFT total energy = -3.59 eV per atom

a b c (Å): 4.5349 4.5349 5.1517
angles (deg): 90.00 90.00 90.00
Last column: nearest neighbours and their distance in Å.
Space group P4/mmm (No. 123)
Symmetry-distinct sites (fractional):
Li  0.0000  0.0000  0.0000 [1 per cell]  4 Bi 3.21, 8 Sn 3.43
Sn  0.0000  0.5000  0.5000 [2 per cell]  4 Sn 3.21, 4 Li 3.43, 4 Bi 3.43
Bi  0.5000  0.5000  0.0000 [1 per cell]  4 Li 3.21, 8 Sn 3.43

Below is a relaxed structure of Li2SnBi2, with properties calculated at the PBE level.

Properties
Formation energy = -0.25 eV per atom
DFT total energy = -3.37 eV per atom
E above lowest polymorph = 0.000 eV/atom

a b c (Å): 8.8370 8.8370 3.2539
angles (deg): 90.00 90.00 90.00
Last column: nearest neighbours and their distance in Å.
Space group P4/mbm (No. 127)
Symmetry-distinct sites (fractional):
Li  0.1227  0.3773  0.0000 [4 per cell]  6 Bi 3.03-3.11, 3 Li 3.07-3.25
Sn  0.0000  0.0000  0.5000 [2 per cell]  2 Sn 3.25, 4 Bi 3.27
Bi  0.1725  0.6725  0.5000 [4 per cell]  6 Li 3.03-3.11, 2 Bi 3.25, 2 Sn 3.27

Below is a relaxed structure of Li7Sn12Bi, with properties calculated at the PBE level.

Properties
Formation energy = -0.19 eV per atom
DFT total energy = -3.45 eV per atom

a b c (Å): 16.7265 16.7265 5.8052
angles (deg): 90.00 90.00 120.00
Last column: nearest neighbours and their distance in Å.
Space group R-3 (No. 148, hexagonal axes)
Symmetry-distinct sites (fractional):
Li  0.0000  0.0000  0.0000 [3 per cell]  2 Bi 2.90, 6 Sn 3.11
Li  0.0556  0.1797  0.3372 [18 per cell]  1 Bi 2.83, 7 Sn 2.88-3.04
Sn  0.0247  0.5982  0.1587 [18 per cell]  3 Li 2.88-2.90, 3 Sn 3.09-3.10
Sn  0.0635  0.2011  0.8438 [18 per cell]  5 Li 2.88-3.11, 1 Sn 3.09
Bi  0.0000  0.0000  0.5000 [3 per cell]  8 Li 2.83-2.90

Below is a relaxed structure of LiSnBi, with properties calculated at the PBE level.

Properties
Formation energy = -0.15 eV per atom
DFT total energy = -3.41 eV per atom
E above lowest polymorph = 0.064 eV/atom

a b c (Å): 4.1146 4.1146 9.4041
angles (deg): 90.00 90.00 90.00
Last column: nearest neighbours and their distance in Å.
Space group I4mm (No. 107)
Symmetry-distinct sites (fractional):
Li  0.0000  0.0000  0.0000 [2 per cell]  5 Sn 3.06-3.34, 5 Bi 3.08-3.33
Sn  0.0000  0.0000  0.6745 [2 per cell]  5 Li 3.06-3.34, 5 Bi 3.25-3.26
Bi  0.0000  0.0000  0.3280 [2 per cell]  5 Li 3.08-3.33, 5 Sn 3.25-3.26

Below is a relaxed structure of Li2SnBi, with properties calculated at the PBE level.

Properties
Formation energy = -0.21 eV per atom
DFT total energy = -3.14 eV per atom

a b c (Å): 4.6988 4.6988 15.7320
angles (deg): 90.00 90.00 120.00
Last column: nearest neighbours and their distance in Å.
Space group R3m (No. 160, hexagonal axes)
Symmetry-distinct sites (fractional):
Li  0.0000  0.0000  0.0000 [3 per cell]  3 Bi 2.84, 3 Sn 3.01, 1 Li 3.14
Li  0.0000  0.0000  0.1993 [3 per cell]  3 Bi 2.99, 1 Li 3.14, 3 Sn 3.28
Sn  0.0000  0.0000  0.4155 [3 per cell]  6 Li 3.01-3.28, 1 Bi 3.10
Bi  0.0000  0.0000  0.6128 [3 per cell]  6 Li 2.84-2.99, 1 Sn 3.10

Q: Which of these has the lowest DFT total energy?
A: LiSn2Bi